[1]
Below is crystalline Be2ZnMo at its relaxed geometry, with properties calculated at the PBE level.

Calculated values
Magnetization in μB/f.u.: 0.0
Formation energy from the elements in meV per atom: 312
Density of states at the Fermi level in states/eV/f.u.: 2.233
SG: R-3m, No. 166

a = 8.323 Å, b = 8.323 Å, c = 8.323 Å
α = 18.48°, β = 18.48°, γ = 18.48°
Atoms (fractional coordinates):
Be1 0.000 0.000 0.000
Be2 0.500 0.500 0.500
Mo1 0.250 0.250 0.250
Zn1 0.750 0.750 0.750

---

[2]
Below is crystalline Be2ZnMo at its relaxed geometry, with properties calculated at the PBE level.

Calculated values
Magnetization in μB/f.u.: 0.0
Formation energy from the elements in meV per atom: 114
Density of states at the Fermi level in states/eV/f.u.: 1.210
SG: Imm2, No. 44

a = 4.932 Å, b = 4.932 Å, c = 4.932 Å
α = 148.85°, β = 130.46°, γ = 59.69°
Atoms (fractional coordinates):
Be1 0.990 0.990 0.000
Be2 0.776 0.276 0.500
Mo1 0.507 0.507 0.000
Zn1 0.227 0.727 0.500

---

[3]
Below is crystalline BeZn3Mo at its relaxed geometry, with properties calculated at the PBE level.

Calculated values
Magnetization in μB/f.u.: 1.5
Formation energy from the elements in meV per atom: 675
Energy relative to the lowest polymorph listed for this composition in kJ per mole of atoms: 0.0
Density of states at the Fermi level in states/eV/f.u.: 3.061
SG: Pm-3m, No. 221

a = 4.170 Å, b = 4.170 Å, c = 4.170 Å
α = 90.00°, β = 90.00°, γ = 90.00°
Atoms (fractional coordinates):
Be1 0.000 0.000 0.000
Mo1 0.500 0.500 0.500
Zn1 0.000 0.500 0.000
Zn2 0.000 0.000 0.500
Zn3 0.500 0.000 0.000

---

[4]
Below is crystalline Be2ZnMo at its relaxed geometry, with properties calculated at the PBE level.

Calculated values
Magnetization in μB/f.u.: 0.0
Formation energy from the elements in meV per atom: 98
Density of states at the Fermi level in states/eV/f.u.: 1.048
SG: Pmm2, No. 25

a = 2.642 Å, b = 2.814 Å, c = 6.222 Å
α = 90.00°, β = 90.00°, γ = 90.00°
Atoms (fractional coordinates):
Be1 0.000 0.000 0.037
Be2 0.500 0.500 0.204
Mo1 0.000 0.000 0.465
Zn1 0.500 0.500 0.793

---

[5]
Below is crystalline Be2ZnMo at its relaxed geometry, with properties calculated at the PBE level.

Calculated values
Magnetization in μB/f.u.: 0.0
Formation energy from the elements in meV per atom: 174
Density of states at the Fermi level in states/eV/f.u.: 1.476
SG: I-4m2, No. 119

a = 4.763 Å, b = 4.763 Å, c = 4.763 Å
α = 138.17°, β = 138.17°, γ = 60.64°
Atoms (fractional coordinates):
Be1 0.000 0.000 0.000
Be2 0.250 0.750 0.500
Mo1 0.500 0.500 0.000
Zn1 0.750 0.250 0.500

---

[6]
Below is crystalline Be2ZnMo at its relaxed geometry, with properties calculated at the PBE level.

Calculated values
Magnetization in μB/f.u.: 0.0
Formation energy from the elements in meV per atom: 444
Density of states at the Fermi level in states/eV/f.u.: 0.520
SG: I-42d, No. 122

a = 6.231 Å, b = 6.231 Å, c = 5.092 Å
α = 52.28°, β = 52.28°, γ = 90.00°
Atoms (fractional coordinates):
Be1 0.605 0.125 0.250
Be2 0.145 0.625 0.250
Be3 0.375 0.395 0.750
Be4 0.875 0.855 0.750
Mo1 0.000 0.000 0.000
Mo2 0.750 0.250 0.500
Zn1 0.500 0.500 0.000
Zn2 0.250 0.750 0.500

---

[7]
Below is crystalline Be2ZnMo at its relaxed geometry, with properties calculated at the PBE level.

Calculated values
Magnetization in μB/f.u.: 0.0
Formation energy from the elements in meV per atom: 197
Density of states at the Fermi level in states/eV/f.u.: 2.270
SG: I4/mmm, No. 139

a = 4.211 Å, b = 4.211 Å, c = 4.211 Å
α = 126.67°, β = 126.67°, γ = 78.80°
Atoms (fractional coordinates):
Be1 0.000 0.000 0.000
Be2 0.500 0.500 0.000
Mo1 0.250 0.750 0.500
Zn1 0.750 0.250 0.500

---

[8]
Below is crystalline Be2ZnMo at its relaxed geometry, with properties calculated at the PBE level.

Calculated values
Magnetization in μB/f.u.: 0.0
Formation energy from the elements in meV per atom: 90
Density of states at the Fermi level in states/eV/f.u.: 1.214
SG: Cm, No. 8

a = 4.665 Å, b = 4.665 Å, c = 4.292 Å
α = 71.33°, β = 71.33°, γ = 32.43°
Atoms (fractional coordinates):
Be1 0.018 0.018 0.036
Be2 0.728 0.728 0.712
Mo1 0.486 0.486 0.561
Zn1 0.269 0.269 0.191

---

[9]
Below is crystalline Zr2BeMo2 at its relaxed geometry, with properties calculated at the PBE level.

Calculated values
Magnetization in μB/f.u.: 0.0
Formation energy from the elements in meV per atom: 226
Density of states at the Fermi level in states/eV/f.u.: 5.917
SG: P4/mbm, No. 127

a = 6.521 Å, b = 6.521 Å, c = 4.253 Å
α = 90.00°, β = 90.00°, γ = 90.00°
Atoms (fractional coordinates):
Be1 0.000 0.000 0.000
Be2 0.500 0.500 0.000
Mo1 0.362 0.862 0.000
Mo2 0.862 0.638 0.000
Mo3 0.638 0.138 0.000
Mo4 0.138 0.362 0.000
Zr1 0.176 0.676 0.500
Zr2 0.676 0.824 0.500
Zr3 0.824 0.324 0.500
Zr4 0.324 0.176 0.500

---

[10]
Below is crystalline ZrBeMo2 at its relaxed geometry, with properties calculated at the PBE level.

Calculated values
Magnetization in μB/f.u.: 0.0
Formation energy from the elements in meV per atom: 151
Density of states at the Fermi level in states/eV/f.u.: 3.152
SG: Cmmm, No. 65

a = 2.771 Å, b = 2.771 Å, c = 8.261 Å
α = 90.00°, β = 90.00°, γ = 102.25°
Atoms (fractional coordinates):
Be1 0.500 0.500 0.750
Mo1 0.000 0.000 0.954
Mo2 0.000 0.000 0.546
Zr1 0.500 0.500 0.250

---

[11]
Below is crystalline ZrBeMo2 at its relaxed geometry, with properties calculated at the PBE level.

Calculated values
Magnetization in μB/f.u.: 0.0
Formation energy from the elements in meV per atom: 428
Density of states at the Fermi level in states/eV/f.u.: 3.751
SG: R3m, No. 160

a = 9.484 Å, b = 9.484 Å, c = 9.484 Å
α = 17.19°, β = 17.19°, γ = 17.19°
Atoms (fractional coordinates):
Be1 0.744 0.744 0.744
Mo1 0.007 0.007 0.007
Mo2 0.256 0.256 0.256
Zr1 0.493 0.493 0.493

---

[12]
Below is crystalline ZrBe2Mo at its relaxed geometry, with properties calculated at the PBE level.

Calculated values
Magnetization in μB/f.u.: 0.0
Formation energy from the elements in meV per atom: 144
Energy relative to the lowest polymorph listed for this composition in kJ per mole of atoms: 22.6
Density of states at the Fermi level in states/eV/f.u.: 2.542
SG: I-4m2, No. 119

a = 5.008 Å, b = 5.008 Å, c = 5.008 Å
α = 137.38°, β = 137.38°, γ = 61.85°
Atoms (fractional coordinates):
Be1 0.000 0.000 0.000
Be2 0.250 0.750 0.500
Mo1 0.500 0.500 0.000
Zr1 0.750 0.250 0.500